# 1
# La3Pb

A crystal of La3Pb relaxed with PBEsol (SCAN, Alexandria).

Calculated values
Crystal system   trigonal
Energy relative to the elements   -35.85 kJ per mole of atoms

Cell lengths 6.428, 6.428, 6.428 Å; angles 116.56, 116.56, 116.56 degrees
Sites, in units of the cell vectors:
La1 0.000 0.500 0.500
La2 0.500 0.000 0.500
La3 0.500 0.500 0.000
Pb1 0.000 0.000 0.000

***

# 2
# La3Pb

A crystal of La3Pb relaxed with PBEsol (SCAN, Alexandria).

Calculated values
Crystal system   orthorhombic
Energy relative to the elements   -47.65 kJ per mole of atoms

Cell lengths 6.924, 17.255, 6.201 Å; angles 90.00, 90.00, 90.00 degrees
Sites, in units of the cell vectors:
La1 0.001 0.250 0.026
La2 0.002 0.082 0.343
La3 0.002 0.418 0.343
La4 0.250 0.085 0.838
La5 0.250 0.415 0.838
La6 0.250 0.750 0.436
La7 0.498 0.082 0.343
La8 0.498 0.418 0.343
La9 0.499 0.250 0.026
La10 0.501 0.750 0.974
La11 0.502 0.582 0.657
La12 0.502 0.918 0.657
La13 0.750 0.250 0.564
La14 0.750 0.585 0.162
La15 0.750 0.915 0.162
La16 0.998 0.582 0.657
La17 0.998 0.918 0.657
La18 0.999 0.750 0.974
Pb1 0.250 0.250 0.519
Pb2 0.250 0.582 0.153
Pb3 0.250 0.918 0.153
Pb4 0.750 0.082 0.847
Pb5 0.750 0.418 0.847
Pb6 0.750 0.750 0.481

***

# 3
# LaPb

A crystal of LaPb relaxed with PBEsol (SCAN, Alexandria).

Calculated values
Crystal system   hexagonal
Energy relative to the elements   -80.83 kJ per mole of atoms

Cell lengths 4.903, 4.903, 6.783 Å; angles 90.00, 90.00, 120.00 degrees
Sites, in units of the cell vectors:
La1 0.333 0.667 0.250
La2 0.667 0.333 0.750
Pb1 0.000 0.000 0.000
Pb2 0.000 0.000 0.500

***

# 4
# La2Pd2Pb

A crystal of La2Pd2Pb relaxed with PBEsol (SCAN, Alexandria).

Calculated values
Crystal system   tetragonal
Energy relative to the elements   -93.88 kJ per mole of atoms

Cell lengths 7.912, 7.912, 3.868 Å; angles 90.00, 90.00, 90.00 degrees
Sites, in units of the cell vectors:
La1 0.177 0.323 0.000
La2 0.323 0.823 0.000
La3 0.677 0.177 0.000
La4 0.823 0.677 0.000
Pd1 0.125 0.625 0.500
Pd2 0.375 0.125 0.500
Pd3 0.625 0.875 0.500
Pd4 0.875 0.375 0.500
Pb1 0.000 0.000 0.500
Pb2 0.500 0.500 0.500

***

| no. | VASP energy (eV/atom) |
| --- | --- |
| 1 | -51.646 |
| 2 | -51.768 |
| 3 | -60.281 |
| 4 | -46.481 |